# 1
# PaAsCl3 PBE-GGA optimized geometry
# Crystal system: monoclinic
# Fermi-level density of states, states/eV/cell: 10.306
# ΔE_f (raw), meV/atom: -1426.0
# Total moment, Bohr magnetons per cell: 4.1
data_PaAsCl3
_chemical_formula_sum 'Pa4 As4 Cl12'
_cell_length_a 11.220
_cell_length_b 8.482
_cell_length_c 7.509
_cell_angle_alpha 90.00
_cell_angle_beta 126.45
_cell_angle_gamma 90.00
_space_group_name_H-M_alt 'C 1 2/m 1'
_space_group_IT_number 12
_space_group_name_Hall '-C 2y'
loop_
_atom_site_label
_atom_site_type_symbol
_atom_site_fract_x
_atom_site_fract_y
_atom_site_fract_z
_atom_site_occupancy
Pa1 Pa 0.234 0.000 0.101 1
As1 As 0.057 0.500 0.413 1
Cl1 Cl 0.054 0.000 0.259 1
Cl2 Cl 0.212 0.312 0.162 1

***

# 2
# Pm6Dy2Tm PBE-GGA optimized geometry
# Crystal system: orthorhombic
# Energy of formation, eV/atom: 0.131
# Fermi-level density of states, states/eV/cell: 23.725
# Total moment, Bohr magnetons per cell: 0.0
data_Pm6Dy2Tm
_chemical_formula_sum 'Pm12 Dy4 Tm2'
_cell_length_a 9.374
_cell_length_b 17.621
_cell_length_c 3.647
_cell_angle_alpha 90.00
_cell_angle_beta 90.00
_cell_angle_gamma 90.00
_space_group_name_H-M_alt 'C m m m'
_space_group_IT_number 65
_space_group_name_Hall '-C 2 2'
loop_
_atom_site_label
_atom_site_type_symbol
_atom_site_fract_x
_atom_site_fract_y
_atom_site_fract_z
_atom_site_occupancy
Pm1 Pm 0.176 0.165 0.000 1
Pm2 Pm 0.185 0.000 0.500 1
Dy1 Dy 0.000 0.324 0.500 1
Tm1 Tm 0.000 0.500 0.000 1

***

# 3
# Pr2TmTh3Te6 PBE-GGA optimized geometry
# Crystal system: monoclinic
# Fermi-level density of states, states/eV/cell: 20.793
# ΔE_f (raw), meV/atom: -1164.3
# Total moment, Bohr magnetons per cell: 0.0
data_Pr2TmTh3Te6
_chemical_formula_sum 'Pr4 Tm2 Th6 Te12'
_cell_length_a 19.892
_cell_length_b 4.336
_cell_length_c 9.188
_cell_angle_alpha 90.00
_cell_angle_beta 108.25
_cell_angle_gamma 90.00
_space_group_name_H-M_alt 'C 1 2/m 1'
_space_group_IT_number 12
_space_group_name_Hall '-C 2y'
loop_
_atom_site_label
_atom_site_type_symbol
_atom_site_fract_x
_atom_site_fract_y
_atom_site_fract_z
_atom_site_occupancy
Pr1 Pr 0.167 0.000 0.335 1
Tm1 Tm 0.000 0.500 0.000 1
Th1 Th 0.000 0.500 0.500 1
Th2 Th 0.172 0.000 0.840 1
Te1 Te 0.003 0.000 0.763 1
Te2 Te 0.159 0.500 0.080 1
Te3 Te 0.167 0.500 0.585 1

***

# 4
# KZr2Sb PBE-GGA optimized geometry
# Crystal system: monoclinic
# Fermi-level density of states, states/eV/cell: 1.407
# ΔE_f (raw), meV/atom: -97.8
# Total moment, Bohr magnetons per cell: 0.0
data_KZr2Sb
_chemical_formula_sum 'K1 Zr2 Sb1'
_cell_length_a 3.716
_cell_length_b 3.715
_cell_length_c 8.932
_cell_angle_alpha 90.00
_cell_angle_beta 90.05
_cell_angle_gamma 90.00
_space_group_name_H-M_alt 'P 1 m 1'
_space_group_IT_number 6
_space_group_name_Hall 'P -2y'
loop_
_atom_site_label
_atom_site_type_symbol
_atom_site_fract_x
_atom_site_fract_y
_atom_site_fract_z
_atom_site_occupancy
K1 K 0.000 0.000 0.000 1
Zr1 Zr 0.497 0.500 0.372 1
Zr2 Zr 0.998 0.000 0.559 1
Sb1 Sb 0.498 0.500 0.713 1